## CeNdIn2 (GGA-PBE)

Data for an optimized crystal structure of CeNdIn2.

```
CeNdIn2
1.0
-2.609 -0.186 -2.348
1.645 -2.652 -1.617
-4.390 -5.988 5.352
Ce In Nd
1 2 1
Direct
0.500 0.500 0.000
0.000 0.000 0.751
0.000 0.000 0.249
0.500 0.500 0.500
```

## Properties
ΔE_f in eV/atom: -0.418
Electronic total energy in eV for the cell shown: -17.85
M_tot in Bohr magnetons per cell: 1.1